Record 1
# CaZrSn2Pb

A relaxed structure of CaZrSn2Pb (PBE, Alexandria).

Unit cell a=5.7887 b=5.7887 c=5.5578 alpha=90.00 beta=90.00 gamma=90.00
Element x y z (fractional)
Ca: 0.0000 0.0000 0.0000
Zr: 0.5000 0.5000 0.0000
Sn: 0.0000 0.5000 0.5000
Sn: 0.5000 0.0000 0.5000
Pb: 0.5000 0.5000 0.5000

Values from the calculation:
ΔH_f (0 K) = 642 meV/atom
spin magnetization = 0.181 μB per atom

Record 2
# SrCa2Pb

A relaxed structure of SrCa2Pb (PBE, Alexandria).

Unit cell a=4.4811 b=5.6885 c=11.7947 alpha=90.00 beta=90.00 gamma=90.00
Element x y z (fractional)
Sr: 0.0000 0.0000 0.0000
Sr: 0.5000 0.5000 0.5000
Ca: 0.0000 0.0000 0.5723
Ca: 0.0000 0.5000 0.7865
Ca: 0.5000 0.0000 0.2865
Ca: 0.5000 0.5000 0.0723
Pb: 0.0000 0.5000 0.2753
Pb: 0.5000 0.0000 0.7753

Values from the calculation:
ΔH_f (0 K) = -244 meV/atom
spin magnetization = 0.131 μB per atom

Record 3
# SrCa5Pb6

A relaxed structure of SrCa5Pb6 (PBE, Alexandria).

Unit cell a=9.3531 b=9.3531 c=9.3531 alpha=148.11 beta=120.24 gamma=69.35
Element x y z (fractional)
Sr: 0.0000 0.0000 0.0000
Ca: 0.1682 0.6682 0.5000
Ca: 0.3333 0.3333 0.0000
Ca: 0.5000 0.0000 0.5000
Ca: 0.6667 0.6667 0.0000
Ca: 0.8318 0.3318 0.5000
Pb: 0.0834 0.8312 0.2522
Pb: 0.2546 0.5000 0.7546
Pb: 0.4210 0.1688 0.2522
Pb: 0.5790 0.8312 0.7478
Pb: 0.7454 0.5000 0.2454
Pb: 0.9166 0.1688 0.7478

Values from the calculation:
ΔH_f (0 K) = -519 meV/atom
spin magnetization = 0.000 μB per atom

Record 4
# SrCa2Pb3

A relaxed structure of SrCa2Pb3 (PBE, Alexandria).

Unit cell a=4.0395 b=4.0395 c=11.8728 alpha=90.00 beta=90.00 gamma=90.00
Element x y z (fractional)
Sr: 0.0000 0.0000 0.0000
Ca: 0.0000 0.0000 0.3412
Ca: 0.0000 0.0000 0.6588
Pb: 0.5000 0.5000 0.1842
Pb: 0.5000 0.5000 0.5000
Pb: 0.5000 0.5000 0.8158

Values from the calculation:
ΔH_f (0 K) = -509 meV/atom
spin magnetization = 0.000 μB per atom

Record 5
# Sr2CaPb

A relaxed structure of Sr2CaPb (PBE, Alexandria).

Unit cell a=4.0157 b=4.0157 c=10.3710 alpha=90.00 beta=90.00 gamma=90.00
Element x y z (fractional)
Sr: 0.0000 0.0000 0.2036
Sr: 0.0000 0.0000 0.7964
Ca: 0.5000 0.5000 0.5000
Pb: 0.5000 0.5000 0.0000

Values from the calculation:
ΔH_f (0 K) = -273 meV/atom
spin magnetization = 0.000 μB per atom

Record 6
# Sr2CaPb

A relaxed structure of Sr2CaPb (PBE, Alexandria).

Unit cell a=5.3624 b=5.3624 c=10.6244 alpha=90.00 beta=90.00 gamma=90.00
Element x y z (fractional)
Sr: 0.0000 0.0000 0.0000
Sr: 0.0000 0.5000 0.2500
Sr: 0.5000 0.0000 0.7500
Sr: 0.5000 0.5000 0.5000
Ca: 0.0000 0.5000 0.7500
Ca: 0.5000 0.0000 0.2500
Pb: 0.0000 0.0000 0.5000
Pb: 0.5000 0.5000 0.0000

Values from the calculation:
ΔH_f (0 K) = -229 meV/atom
spin magnetization = 0.000 μB per atom

Record 7
# Sr2CaPb

A relaxed structure of Sr2CaPb (PBE, Alexandria).

Unit cell a=4.0795 b=4.0795 c=35.9454 alpha=90.00 beta=90.00 gamma=120.00
Element x y z (fractional)
Sr: 0.0000 0.0000 0.2371
Sr: 0.0000 0.0000 0.7629
Sr: 0.3333 0.6667 0.4296
Sr: 0.3333 0.6667 0.9038
Sr: 0.6667 0.3333 0.0962
Sr: 0.6667 0.3333 0.5704
Ca: 0.0000 0.0000 0.0000
Ca: 0.3333 0.6667 0.6667
Ca: 0.6667 0.3333 0.3333
Pb: 0.0000 0.0000 0.5000
Pb: 0.3333 0.6667 0.1667
Pb: 0.6667 0.3333 0.8333

Values from the calculation:
ΔH_f (0 K) = -157 meV/atom
spin magnetization = 0.000 μB per atom

Record 8
# SrCa2Pb4

A relaxed structure of SrCa2Pb4 (PBE, Alexandria).

Unit cell a=7.3986 b=11.5228 c=5.6041 alpha=90.00 beta=90.00 gamma=90.00
Element x y z (fractional)
Sr: 0.0000 0.0000 0.0000
Sr: 0.5000 0.5000 0.0000
Ca: 0.0000 0.2406 0.5000
Ca: 0.0000 0.7594 0.5000
Ca: 0.5000 0.2594 0.5000
Ca: 0.5000 0.7406 0.5000
Pb: 0.2106 0.5000 0.5000
Pb: 0.2500 0.2500 0.0000
Pb: 0.2500 0.7500 0.0000
Pb: 0.2894 0.0000 0.5000
Pb: 0.7106 0.0000 0.5000
Pb: 0.7500 0.2500 0.0000
Pb: 0.7500 0.7500 0.0000
Pb: 0.7894 0.5000 0.5000

Values from the calculation:
ΔH_f (0 K) = -352 meV/atom
spin magnetization = 0.000 μB per atom

Record 9
# Sr2CaPb

A relaxed structure of Sr2CaPb (PBE, Alexandria).

Unit cell a=4.6138 b=5.7890 c=12.0304 alpha=90.00 beta=90.00 gamma=90.00
Element x y z (fractional)
Sr: 0.0000 0.0000 0.2137
Sr: 0.0000 0.0000 0.7863
Sr: 0.5000 0.5000 0.2863
Sr: 0.5000 0.5000 0.7137
Ca: 0.0000 0.5000 0.0000
Ca: 0.5000 0.0000 0.5000
Pb: 0.0000 0.5000 0.5000
Pb: 0.5000 0.0000 0.0000

Values from the calculation:
ΔH_f (0 K) = -222 meV/atom
spin magnetization = 0.242 μB per atom

Record 10
# SrCa2Pb

A relaxed structure of SrCa2Pb (PBE, Alexandria).

Unit cell a=7.3564 b=12.4743 c=3.6744 alpha=90.00 beta=116.58 gamma=90.00
Element x y z (fractional)
Sr: 0.0000 0.0000 0.0000
Sr: 0.5000 0.5000 0.0000
Ca: 0.2500 0.2500 0.5000
Ca: 0.2500 0.7500 0.5000
Ca: 0.7500 0.2500 0.5000
Ca: 0.7500 0.7500 0.5000
Pb: 0.0000 0.5000 0.0000
Pb: 0.5000 0.0000 0.0000

Values from the calculation:
ΔH_f (0 K) = -146 meV/atom
spin magnetization = 0.000 μB per atom

Record 11
# Sr2CaPb

A relaxed structure of Sr2CaPb (PBE, Alexandria).

Unit cell a=5.3685 b=5.3685 c=5.1982 alpha=90.00 beta=90.00 gamma=90.00
Element x y z (fractional)
Sr: 0.0000 0.5000 0.0000
Sr: 0.5000 0.0000 0.0000
Ca: 0.0000 0.0000 0.5000
Pb: 0.5000 0.5000 0.5000

Values from the calculation:
ΔH_f (0 K) = -329 meV/atom
spin magnetization = 0.000 μB per atom

Record 12
# SrCa3Pb

A relaxed structure of SrCa3Pb (PBE, Alexandria).

Unit cell a=6.1317 b=6.1317 c=6.1317 alpha=90.00 beta=90.00 gamma=90.00
Element x y z (fractional)
Sr: 0.0000 0.0000 0.0000
Ca: 0.0000 0.5000 0.5000
Ca: 0.5000 0.0000 0.5000
Ca: 0.5000 0.5000 0.0000
Pb: 0.5000 0.5000 0.5000

Values from the calculation:
ΔH_f (0 K) = -116 meV/atom
energy above the lowest structure with this stoichiometry = 0.0 meV/atom
spin magnetization = 0.334 μB per atom